# 1
A relaxed LaPRh2 crystal. Source: Alexandria via LeMat-Bulk, functional PBEsol.

CIF file:
```
data_LaPRh2
_symmetry_space_group_name_H-M 'R 3 m'
_symmetry_Int_Tables_number 160
_symmetry_space_group_name_Hall 'R 3 -2"'
_cell_length_a 4.0635
_cell_length_b 4.0635
_cell_length_c 15.7167
_cell_angle_alpha 90.00
_cell_angle_beta 90.00
_cell_angle_gamma 120.00
loop_
_atom_site_label
_atom_site_fract_x
_atom_site_fract_y
_atom_site_fract_z
_atom_site_occupancy
La1 0.0000 0.0000 0.0000 1
P1 0.0000 0.0000 0.8092 1
Rh1 0.0000 0.0000 0.1985 1
Rh2 0.0000 0.0000 0.4570 1
```

Crystal system: trigonal
Calculated density: 8.33 g/cm3
Raw total energy: -0.2808 hartree per atom

=====

# 2
A relaxed LaP2Ru2 crystal. Source: Alexandria via LeMat-Bulk, functional PBEsol.

CIF file:
```
data_LaP2Ru2
_symmetry_space_group_name_H-M 'I 4/m m m'
_symmetry_Int_Tables_number 139
_symmetry_space_group_name_Hall '-I 4 2'
_cell_length_a 4.009
_cell_length_b 4.009
_cell_length_c 10.596
_cell_angle_alpha 90.00
_cell_angle_beta 90.00
_cell_angle_gamma 90.00
loop_
_atom_site_label
_atom_site_fract_x
_atom_site_fract_y
_atom_site_fract_z
_atom_site_occupancy
La1 0.000 0.000 0.000 1
P1 0.000 0.000 0.359 1
Ru1 0.000 0.500 0.250 1
```

Crystal system: tetragonal
Calculated density: 7.86 g/cm3
Raw total energy: -0.3134 hartree per atom

=====

# 3
A relaxed La3PRu crystal. Source: Alexandria via LeMat-Bulk, functional PBEsol.

CIF file:
```
data_La3PRu
_symmetry_space_group_name_H-M 'P m -3 m'
_symmetry_Int_Tables_number 221
_symmetry_space_group_name_Hall '-P 4 2 3'
_cell_length_a 5.281
_cell_length_b 5.281
_cell_length_c 5.281
_cell_angle_alpha 90.00
_cell_angle_beta 90.00
_cell_angle_gamma 90.00
loop_
_atom_site_label
_atom_site_fract_x
_atom_site_fract_y
_atom_site_fract_z
_atom_site_occupancy
La1 0.000 0.000 0.500 1
P1 0.500 0.500 0.500 1
Ru1 0.000 0.000 0.000 1
```

Crystal system: cubic
Calculated density: 6.19 g/cm3
Raw total energy: -0.2439 hartree per atom

=====

# 4
A relaxed LaSc2PRu crystal. Source: Alexandria via LeMat-Bulk, functional PBEsol.

CIF file:
```
data_LaSc2PRu
_symmetry_space_group_name_H-M 'P 4/m m m'
_symmetry_Int_Tables_number 123
_symmetry_space_group_name_Hall '-P 4 2'
_cell_length_a 4.698
_cell_length_b 4.698
_cell_length_c 5.520
_cell_angle_alpha 90.00
_cell_angle_beta 90.00
_cell_angle_gamma 90.00
loop_
_atom_site_label
_atom_site_fract_x
_atom_site_fract_y
_atom_site_fract_z
_atom_site_occupancy
La1 0.000 0.000 0.000 1
Sc1 0.000 0.500 0.500 1
P1 0.000 0.000 0.500 1
Ru1 0.500 0.500 0.000 1
```

Crystal system: tetragonal
Calculated density: 4.92 g/cm3
Raw total energy: -0.2542 hartree per atom

=====

# 5
A relaxed LaTaP2S crystal. Source: Alexandria via LeMat-Bulk, functional PBEsol.

CIF file:
```
data_LaTaP2S
_symmetry_space_group_name_H-M 'P 4/m m m'
_symmetry_Int_Tables_number 123
_symmetry_space_group_name_Hall '-P 4 2'
_cell_length_a 4.783
_cell_length_b 4.783
_cell_length_c 4.718
_cell_angle_alpha 90.00
_cell_angle_beta 90.00
_cell_angle_gamma 90.00
loop_
_atom_site_label
_atom_site_fract_x
_atom_site_fract_y
_atom_site_fract_z
_atom_site_occupancy
La1 0.000 0.000 0.000 1
Ta1 0.500 0.500 0.500 1
P1 0.000 0.500 0.500 1
S1 0.500 0.500 0.000 1
```

Crystal system: tetragonal
Formation energy from raw total energies: -0.858 eV per atom
Calculated density: 6.37 g/cm3

=====

# 6
A relaxed LaTc2PS crystal. Source: Alexandria via LeMat-Bulk, functional PBEsol.

CIF file:
```
data_LaTc2PS
_symmetry_space_group_name_H-M 'P 4/m m m'
_symmetry_Int_Tables_number 123
_symmetry_space_group_name_Hall '-P 4 2'
_cell_length_a 4.300
_cell_length_b 4.300
_cell_length_c 5.409
_cell_angle_alpha 90.00
_cell_angle_beta 90.00
_cell_angle_gamma 90.00
loop_
_atom_site_label
_atom_site_fract_x
_atom_site_fract_y
_atom_site_fract_z
_atom_site_occupancy
La1 0.000 0.000 0.000 1
Tc1 0.000 0.500 0.500 1
P1 0.500 0.500 0.000 1
S1 0.000 0.000 0.500 1
```

Crystal system: tetragonal
Formation energy from raw total energies: 0.110 eV per atom
Calculated density: 6.61 g/cm3

=====

# 7
A relaxed LaTiP2S crystal. Source: Alexandria via LeMat-Bulk, functional PBEsol.

CIF file:
```
data_LaTiP2S
_symmetry_space_group_name_H-M 'P 4/m m m'
_symmetry_Int_Tables_number 123
_symmetry_space_group_name_Hall '-P 4 2'
_cell_length_a 5.155
_cell_length_b 5.155
_cell_length_c 5.290
_cell_angle_alpha 90.00
_cell_angle_beta 90.00
_cell_angle_gamma 90.00
loop_
_atom_site_label
_atom_site_fract_x
_atom_site_fract_y
_atom_site_fract_z
_atom_site_occupancy
La1 0.000 0.000 0.000 1
Ti1 0.500 0.500 0.500 1
P1 0.000 0.500 0.000 1
S1 0.000 0.000 0.500 1
```

Crystal system: tetragonal
Formation energy from raw total energies: 0.714 eV per atom
Calculated density: 3.32 g/cm3

=====

# 8
A relaxed LaZrPS2 crystal. Source: Alexandria via LeMat-Bulk, functional PBEsol.

CIF file:
```
data_LaZrPS2
_symmetry_space_group_name_H-M 'P 4/m m m'
_symmetry_Int_Tables_number 123
_symmetry_space_group_name_Hall '-P 4 2'
_cell_length_a 4.832
_cell_length_b 4.832
_cell_length_c 5.020
_cell_angle_alpha 90.00
_cell_angle_beta 90.00
_cell_angle_gamma 90.00
loop_
_atom_site_label
_atom_site_fract_x
_atom_site_fract_y
_atom_site_fract_z
_atom_site_occupancy
La1 0.000 0.000 0.000 1
Zr1 0.500 0.500 0.500 1
P1 0.500 0.500 0.000 1
S1 0.000 0.500 0.500 1
```

Crystal system: tetragonal
Formation energy from raw total energies: -1.313 eV per atom
Calculated density: 4.61 g/cm3

=====

# 9
A relaxed La4SbP crystal. Source: Alexandria via LeMat-Bulk, functional PBEsol.

CIF file:
```
data_La4SbP
_symmetry_space_group_name_H-M 'F -4 3 m'
_symmetry_Int_Tables_number 216
_symmetry_space_group_name_Hall 'F -4 2 3'
_cell_length_a 8.796
_cell_length_b 8.796
_cell_length_c 8.796
_cell_angle_alpha 90.00
_cell_angle_beta 90.00
_cell_angle_gamma 90.00
loop_
_atom_site_label
_atom_site_fract_x
_atom_site_fract_y
_atom_site_fract_z
_atom_site_occupancy
La1 0.125 0.125 0.125 1
Sb1 0.250 0.250 0.750 1
P1 0.000 0.000 0.500 1
```

Crystal system: cubic
Formation energy from raw total energies: -0.061 eV per atom
Calculated density: 6.91 g/cm3

=====

# 10
A relaxed LaSb2P crystal. Source: Alexandria via LeMat-Bulk, functional PBEsol.

CIF file:
```
data_LaSb2P
_symmetry_space_group_name_H-M 'F -4 3 m'
_symmetry_Int_Tables_number 216
_symmetry_space_group_name_Hall 'F -4 2 3'
_cell_length_a 7.388
_cell_length_b 7.388
_cell_length_c 7.388
_cell_angle_alpha 90.00
_cell_angle_beta 90.00
_cell_angle_gamma 90.00
loop_
_atom_site_label
_atom_site_fract_x
_atom_site_fract_y
_atom_site_fract_z
_atom_site_occupancy
La1 0.000 0.000 0.000 1
Sb1 0.000 0.000 0.500 1
Sb2 0.250 0.250 0.250 1
P1 0.250 0.250 0.750 1
```

Crystal system: cubic
Formation energy from raw total energies: -0.313 eV per atom
Calculated density: 6.81 g/cm3

=====

# 11
A relaxed LaSbP crystal. Source: Alexandria via LeMat-Bulk, functional PBEsol.

CIF file:
```
data_LaSbP
_symmetry_space_group_name_H-M 'F -4 3 m'
_symmetry_Int_Tables_number 216
_symmetry_space_group_name_Hall 'F -4 2 3'
_cell_length_a 6.844
_cell_length_b 6.844
_cell_length_c 6.844
_cell_angle_alpha 90.00
_cell_angle_beta 90.00
_cell_angle_gamma 90.00
loop_
_atom_site_label
_atom_site_fract_x
_atom_site_fract_y
_atom_site_fract_z
_atom_site_occupancy
La1 0.000 0.000 0.000 1
Sb1 0.000 0.000 0.500 1
P1 0.250 0.250 0.750 1
```

Crystal system: cubic
Formation energy from raw total energies: -0.595 eV per atom
Calculated density: 6.04 g/cm3

=====

# 12
A relaxed La2SbP crystal. Source: Alexandria via LeMat-Bulk, functional PBEsol.

CIF file:
```
data_La2SbP
_symmetry_space_group_name_H-M 'P 4/m m m'
_symmetry_Int_Tables_number 123
_symmetry_space_group_name_Hall '-P 4 2'
_cell_length_a 4.404
_cell_length_b 4.404
_cell_length_c 6.234
_cell_angle_alpha 90.00
_cell_angle_beta 90.00
_cell_angle_gamma 90.00
loop_
_atom_site_label
_atom_site_fract_x
_atom_site_fract_y
_atom_site_fract_z
_atom_site_occupancy
La1 0.000 0.000 0.000 1
La2 0.500 0.500 0.500 1
Sb1 0.000 0.000 0.500 1
P1 0.500 0.500 0.000 1
```

Crystal system: tetragonal
Distance to the lowest polymorph of the same formula: 0.068 eV/atom
Formation energy from raw total energies: -1.308 eV per atom
Calculated density: 5.91 g/cm3

=====

# 13
A relaxed LaSbP2 crystal. Source: Alexandria via LeMat-Bulk, functional PBEsol.

CIF file:
```
data_LaSbP2
_symmetry_space_group_name_H-M 'R -3 m'
_symmetry_Int_Tables_number 166
_symmetry_space_group_name_Hall '-R 3 2"'
_cell_length_a 4.0802
_cell_length_b 4.0802
_cell_length_c 20.3517
_cell_angle_alpha 90.00
_cell_angle_beta 90.00
_cell_angle_gamma 120.00
loop_
_atom_site_label
_atom_site_fract_x
_atom_site_fract_y
_atom_site_fract_z
_atom_site_occupancy
La1 0.0000 0.0000 0.0000 1
Sb1 0.0000 0.0000 0.5000 1
P1 0.0000 0.0000 0.2466 1
```

Crystal system: trigonal
Formation energy from raw total energies: -0.609 eV per atom
Calculated density: 5.48 g/cm3